Record 1
A relaxed Th2AlRe crystal. Source: the Alexandria database, functional PBE.

## Properties
* space-group type: R-3m

abc: 3.303 3.303 10.652
angles: 81.08 81.08 60.00
Atoms (fractional coordinates):
1 Re 0.000 0.000 0.000
2 Al 0.500 0.500 0.500
3 Th 0.083 0.083 0.750
4 Th 0.917 0.917 0.250


Record 2
A relaxed NbV2GaH crystal. Source: the Alexandria database, functional PBE.

## Properties
* space-group type: P4/mmm

abc: 3.830 3.830 4.227
angles: 90.00 90.00 90.00
Atoms (fractional coordinates):
1 H 0.000 0.000 0.000
2 Nb 0.000 0.000 0.500
3 Ga 0.500 0.500 0.500
4 V 0.000 0.500 0.000
5 V 0.500 0.000 0.000


Record 3
A relaxed LiSm2Ho3Se6 crystal. Source: the Alexandria database, functional PBE.

## Properties
* space-group type: C2/m
* raw formation energy: -1.755 eV per atom

abc: 7.078 7.078 7.069
angles: 99.66 99.66 120.14
Atoms (fractional coordinates):
1 Li 0.000 0.000 0.000
2 Sm 0.334 0.666 0.000
3 Sm 0.666 0.334 0.000
4 Ho 0.168 0.832 0.500
5 Ho 0.832 0.168 0.500
6 Ho 0.500 0.500 0.500
7 Se 0.916 0.595 0.747
8 Se 0.765 0.765 0.251
9 Se 0.084 0.405 0.253
10 Se 0.595 0.916 0.747
11 Se 0.235 0.235 0.749
12 Se 0.405 0.084 0.253


Record 4
A relaxed Hf2BPbF crystal. Source: the Alexandria database, functional PBE.

## Properties
* space-group type: P4/mmm
* raw formation energy: 0.415 eV per atom

abc: 4.309 5.149 4.309
angles: 90.00 90.00 90.00
Atoms (fractional coordinates):
1 Pb 0.000 0.500 0.000
2 B 0.500 0.500 0.500
3 Hf 0.000 0.000 0.500
4 Hf 0.500 0.000 0.000
5 F 0.000 0.000 0.000


Record 5
A relaxed TcSbP2 crystal. Source: the Alexandria database, functional PBE.

## Properties
* space-group type: F-43m
* raw formation energy: 0.601 eV per atom

abc: 4.536 4.536 4.536
angles: 60.00 60.00 60.00
Atoms (fractional coordinates):
1 P 0.000 0.000 0.000
2 P 0.250 0.250 0.250
3 Sb 0.500 0.500 0.500
4 Tc 0.750 0.750 0.750


Record 6
A relaxed Sc3HgO crystal. Source: the Alexandria database, functional PBE.

## Properties
* space-group type: Cmcm
* raw formation energy: -1.099 eV per atom

abc: 6.063 6.063 6.636
angles: 90.00 90.00 116.64
Atoms (fractional coordinates):
1 Sc 0.491 0.012 0.250
2 Sc 0.988 0.509 0.250
3 Sc 0.012 0.491 0.750
4 Sc 0.509 0.988 0.750
5 Sc 0.000 0.000 0.000
6 Sc 0.000 0.000 0.500
7 Hg 0.484 0.516 0.250
8 Hg 0.516 0.484 0.750
9 O 0.120 0.880 0.250
10 O 0.880 0.120 0.750


Record 7
A relaxed LiY2Re crystal. Source: the Alexandria database, functional PBE.

## Properties
* space-group type: P2/m

abc: 3.165 6.295 5.872
angles: 49.83 90.00 90.00
Atoms (fractional coordinates):
1 Li 0.500 0.500 0.500
2 Re 0.000 0.000 0.500
3 Y 0.000 0.000 0.000
4 Y 0.500 0.500 0.000


Record 8
A relaxed LaCr2W2 crystal. Source: the Alexandria database, functional PBE.

## Properties
* space-group type: I4/mmm

abc: 4.203 4.203 6.096
angles: 69.84 69.84 90.00
Site moments in Bohr magnetons follow the coordinates.
Atoms (fractional coordinates):
1 Cr 0.378 0.378 0.244  0.08
2 Cr 0.622 0.622 0.756  0.08
3 W 0.750 0.250 0.500  -0.01
4 W 0.250 0.750 0.500  -0.01
5 La 0.000 0.000 0.000  0.00


Record 9
A relaxed Sc3Cd7Ag2 crystal. Source: the Alexandria database, functional PBE.

## Properties
* space-group type: P2/m

abc: 3.318 4.868 16.555
angles: 97.91 90.00 90.00
Atoms (fractional coordinates):
1 Sc 0.500 0.500 0.000
2 Sc 0.000 0.189 0.369
3 Sc 0.000 0.811 0.631
4 Cd 0.500 0.731 0.459
5 Cd 0.500 0.269 0.541
6 Cd 0.000 0.585 0.149
7 Cd 0.000 0.000 0.000
8 Cd 0.000 0.415 0.851
9 Cd 0.500 0.891 0.802
10 Cd 0.500 0.109 0.198
11 Ag 0.500 0.655 0.294
12 Ag 0.500 0.345 0.706


In the order shown, the computed energy values come out to -7.1362; -7.1319; -5.5874; -6.0181; -5.7256; -5.9502; -6.3295; -9.5705; -2.7057 eV per atom.